A plane-wave DFT calculation with PBE was carried out for an optimized crystal structure of Al2Ag2Sb.

The structure in CIF format:
```
data_Al2Ag2Sb
_chemical_formula_sum 'Al4 Ag4 Sb2'
_space_group_name_H-M_alt 'I 4/m m m'
_space_group_IT_number 139
_space_group_name_Hall '-I 4 2'
_cell_length_a 4.0351
_cell_length_b 4.0351
_cell_length_c 12.4396
_cell_angle_alpha 90.00
_cell_angle_beta 90.00
_cell_angle_gamma 90.00
loop_
_atom_site_label
_atom_site_fract_x
_atom_site_fract_y
_atom_site_fract_z
Al1 0.0000 0.5000 0.2500
Ag1 0.0000 0.0000 0.1109
Sb1 0.0000 0.0000 0.5000
```

Values from the calculation:
DOS at the Fermi energy ... 3.6 states/eV per cell
Mass density ... 6.419 g/cm³
Polymorph energy (0 for the lowest one) ... 0 meV per atom
VASP energy ... -0.12344 hartree per atom
E_form (uncorrected) ... 0.5 eV/f.u.

A plane-wave DFT calculation with PBE was carried out for an optimized crystal structure of Er2ZrBi.

The structure in CIF format:
```
data_Er2ZrBi
_chemical_formula_sum 'Er6 Zr3 Bi3'
_space_group_name_H-M_alt 'R -3 m'
_space_group_IT_number 166
_space_group_name_Hall '-R 3 2"'
_cell_length_a 3.5087
_cell_length_b 3.5087
_cell_length_c 31.4760
_cell_angle_alpha 90.00
_cell_angle_beta 90.00
_cell_angle_gamma 120.00
loop_
_atom_site_label
_atom_site_fract_x
_atom_site_fract_y
_atom_site_fract_z
Er1 0.0000 0.0000 0.2485
Zr1 0.0000 0.0000 0.5000
Bi1 0.0000 0.0000 0.0000
```

Values from the calculation:
DOS at the Fermi energy ... 13.8 states/eV per cell
Mass density ... 9.422 g/cm³
Calculated formation energy ... -0.6 eV per formula unit
Polymorph energy (0 for the lowest one) ... 116 meV per atom
VASP energy ... -0.20333 hartree per atom

A plane-wave DFT calculation with PBE was carried out for an optimized crystal structure of PmPuPb.

The structure in CIF format:
```
data_PmPuPb
_chemical_formula_sum 'Pm1 Pu1 Pb1'
_space_group_name_H-M_alt 'P 3 m 1'
_space_group_IT_number 156
_cell_length_a 5.4078
_cell_length_b 5.4078
_cell_length_c 3.5405
_cell_angle_alpha 90.00
_cell_angle_beta 90.00
_cell_angle_gamma 120.00
loop_
_space_group_symop_operation_xyz
'x,y,z'
'-y,x-y,z'
'-x+y,-x,z'
'-y,-x,z'
'-x+y,y,z'
'x,x-y,z'
loop_
_atom_site_label
_atom_site_fract_x
_atom_site_fract_y
_atom_site_fract_z
Pm1 0.0000 0.0000 0.0000
Pu1 0.6667 0.3333 0.4095
Pb1 0.3333 0.6667 0.7025
```

Values from the calculation:
DOS at the Fermi energy ... 7.5 states/eV per cell
Mass density ... 11.041 g/cm³
Calculated formation energy ... -0.3 eV per formula unit
Polymorph energy (0 for the lowest one) ... 225 meV per atom
VASP energy ... -0.28227 hartree per atom